1.
The following is a DFT calculation (GGA-PBEsol) of a geometry-optimized CuAgF3 structure.

Computed properties:
SG = No. 167
Uncorrected formation energy = -1.25 eV/atom

Lattice parameters (Å, degrees): 5.498 5.498 5.498 60.63 60.63 60.63
Sites, in units of the cell vectors:
F (0.180, 0.750, 0.320)
F (0.320, 0.180, 0.750)
F (0.820, 0.250, 0.680)
F (0.250, 0.680, 0.820)
F (0.680, 0.820, 0.250)
F (0.750, 0.320, 0.180)
Ag (0.250, 0.250, 0.250)
Ag (0.750, 0.750, 0.750)
Cu (0.000, 0.000, 0.000)
Cu (0.500, 0.500, 0.500)

2.
The following is a DFT calculation (GGA-PBEsol) of a geometry-optimized LiTcC2 structure.

Computed properties:
SG = No. 225
Energy = -7.082 eV/atom

Lattice parameters (Å, degrees): 3.615 3.615 3.615 60.00 60.00 60.00
Sites, in units of the cell vectors:
C (0.750, 0.750, 0.750)
C (0.250, 0.250, 0.250)
Li (0.000, 0.000, 0.000)
Tc (0.500, 0.500, 0.500)

3.
The following is a DFT calculation (GGA-PBEsol) of a geometry-optimized CsTbMo2O8 structure.

Computed properties:
SG = No. 15
Uncorrected formation energy = -2.44 eV/atom

Lattice parameters (Å, degrees): 7.469 7.469 7.649 62.36 62.36 89.11
Sites, in units of the cell vectors:
O (0.055, 0.210, 0.798)
O (0.071, 0.387, 0.371)
O (0.387, 0.071, 0.871)
O (0.244, 0.384, 0.932)
O (0.417, 0.632, 0.030)
O (0.790, 0.945, 0.702)
O (0.929, 0.613, 0.629)
O (0.756, 0.616, 0.068)
O (0.210, 0.055, 0.298)
O (0.945, 0.790, 0.202)
O (0.583, 0.368, 0.970)
O (0.384, 0.244, 0.432)
O (0.616, 0.756, 0.568)
O (0.368, 0.583, 0.470)
O (0.632, 0.417, 0.530)
O (0.613, 0.929, 0.129)
Cs (0.805, 0.195, 0.250)
Cs (0.195, 0.805, 0.750)
Mo (0.305, 0.308, 0.233)
Mo (0.308, 0.305, 0.733)
Mo (0.692, 0.695, 0.267)
Mo (0.695, 0.692, 0.767)
Tb (0.230, 0.770, 0.250)
Tb (0.770, 0.230, 0.750)

4.
The following is a DFT calculation (GGA-PBEsol) of a geometry-optimized NbTe2AuN structure.

Computed properties:
SG = No. 123
Uncorrected formation energy = 0.34 eV/atom

Lattice parameters (Å, degrees): 3.851 5.450 5.450 90.00 90.00 90.00
Sites, in units of the cell vectors:
Te (0.000, 0.000, 0.500)
Te (0.000, 0.500, 0.000)
Nb (0.000, 0.000, 0.000)
Au (0.500, 0.500, 0.500)
N (0.500, 0.000, 0.000)

5.
The following is a DFT calculation (GGA-PBEsol) of a geometry-optimized RuRh2W structure.

Computed properties:
SG = No. 123
Energy = -10.260 eV/atom

Lattice parameters (Å, degrees): 3.783 3.783 3.869 90.00 90.00 90.00
Sites, in units of the cell vectors:
W (0.000, 0.000, 0.500)
Rh (0.500, 0.000, 0.000)
Rh (0.000, 0.500, 0.000)
Ru (0.500, 0.500, 0.500)

6.
The following is a DFT calculation (GGA-PBEsol) of a geometry-optimized NaCa2Co structure.

Computed properties:
SG = No. 122
Energy = -2.802 eV/atom

Lattice parameters (Å, degrees): 6.703 6.650 6.650 75.29 59.74 59.74
Sites, in units of the cell vectors:
Ca (0.047, 0.078, 0.578)
Ca (0.375, 0.578, 0.922)
Ca (0.703, 0.922, 0.422)
Ca (0.875, 0.422, 0.078)
Na (0.500, 0.000, 0.000)
Na (0.250, 0.500, 0.500)
Co (0.750, 0.500, 0.500)
Co (0.000, 0.000, 0.000)

7.
The following is a DFT calculation (GGA-PBEsol) of a geometry-optimized Ca3BiPt structure.

Computed properties:
SG = No. 221
Energy = -3.370 eV/atom

Lattice parameters (Å, degrees): 5.749 5.749 5.749 90.00 90.00 90.00
Sites, in units of the cell vectors:
Pt (0.500, 0.500, 0.500)
Ca (0.500, 0.000, 0.000)
Ca (0.000, 0.500, 0.000)
Ca (0.000, 0.000, 0.500)
Bi (0.000, 0.000, 0.000)

8.
The following is a DFT calculation (GGA-PBEsol) of a geometry-optimized InAg2I2 structure.

Computed properties:
SG = No. 139
Uncorrected formation energy = 0.03 eV/atom

Lattice parameters (Å, degrees): 4.005 4.005 9.167 102.62 102.62 90.00
Sites, in units of the cell vectors:
I (0.383, 0.383, 0.767)
I (0.617, 0.617, 0.233)
Ag (0.250, 0.750, 0.500)
Ag (0.750, 0.250, 0.500)
In (0.000, 0.000, 0.000)

9.
The following is a DFT calculation (GGA-PBEsol) of a geometry-optimized Li2WN structure.

Computed properties:
SG = No. 122
Uncorrected formation energy = 0.22 eV/atom

Lattice parameters (Å, degrees): 3.961 5.205 5.205 81.67 67.63 67.63
Sites, in units of the cell vectors:
N (0.250, 0.500, 0.500)
N (0.500, 0.000, 0.000)
Li (0.221, 0.404, 0.904)
Li (0.875, 0.904, 0.596)
Li (0.375, 0.096, 0.404)
Li (0.529, 0.596, 0.096)
W (0.750, 0.500, 0.500)
W (0.000, 0.000, 0.000)

10.
The following is a DFT calculation (GGA-PBEsol) of a geometry-optimized Ta2TlGeB structure.

Computed properties:
SG = No. 123
Energy = -4.832 eV/atom

Lattice parameters (Å, degrees): 4.918 5.140 5.140 90.00 90.00 90.00
Sites, in units of the cell vectors:
Ta (0.000, 0.500, 0.000)
Ta (0.000, 0.000, 0.500)
Ge (0.500, 0.000, 0.000)
Tl (0.000, 0.000, 0.000)
B (0.500, 0.500, 0.500)

11.
The following is a DFT calculation (GGA-PBEsol) of a geometry-optimized BaTiI2 structure.

Computed properties:
SG = No. 122
Uncorrected formation energy = -0.35 eV/atom

Lattice parameters (Å, degrees): 6.171 6.171 9.628 108.69 108.69 90.00
Sites, in units of the cell vectors:
Ti (0.500, 0.500, 0.000)
Ti (0.750, 0.250, 0.500)
I (0.454, 0.875, 0.250)
I (0.125, 0.204, 0.750)
I (0.625, 0.546, 0.750)
I (0.796, 0.375, 0.250)
Ba (0.250, 0.750, 0.500)
Ba (0.000, 0.000, 0.000)

12.
The following is a DFT calculation (GGA-PBEsol) of a geometry-optimized Er2MgGe2 structure.

Computed properties:
SG = No. 127
Energy = -5.103 eV/atom

Lattice parameters (Å, degrees): 4.140 7.135 7.135 90.00 90.00 90.00
Sites, in units of the cell vectors:
Ge (0.000, 0.124, 0.624)
Ge (0.000, 0.624, 0.876)
Ge (0.000, 0.876, 0.376)
Ge (0.000, 0.376, 0.124)
Mg (0.000, 0.000, 0.000)
Mg (0.000, 0.500, 0.500)
Er (0.500, 0.177, 0.323)
Er (0.500, 0.823, 0.677)
Er (0.500, 0.323, 0.823)
Er (0.500, 0.677, 0.177)